(1)
# SrB2Mo2, optimized geometry, DFT GGA-PBE
# Formation energy from the elements = 487 meV/atom
# Distance to the lowest polymorph of the same formula = 409 meV/atom
# Final energy = -6.8529 eV per atom
# SG = P4/mbm, No. 127
data_SrB2Mo2
_space_group_name_H-M_alt 'P 1'
_space_group_IT_number 1
_cell_length_a 6.672
_cell_length_b 6.672
_cell_length_c 3.206
_cell_angle_alpha 90.00
_cell_angle_beta 90.00
_cell_angle_gamma 90.00
loop_
_space_group_symop_operation_xyz
'x,y,z'
loop_
_atom_site_label
_atom_site_fract_x
_atom_site_fract_y
_atom_site_fract_z
_atom_site_occupancy
Sr1 0.000 0.000 0.000 1
Sr2 0.500 0.500 0.000 1
B1 0.097 0.403 0.000 1
B2 0.403 0.903 0.000 1
B3 0.597 0.097 0.000 1
B4 0.903 0.597 0.000 1
Mo1 0.151 0.651 0.500 1
Mo2 0.349 0.151 0.500 1
Mo3 0.651 0.849 0.500 1
Mo4 0.849 0.349 0.500 1

(2)
# Ta3BMo, optimized geometry, DFT GGA-PBE
# Formation energy from the elements = 2250 meV/atom
# Distance to the lowest polymorph of the same formula = 2117 meV/atom
# Final energy = -8.3628 eV per atom
# SG = Pm-3m, No. 221
data_Ta3BMo
_space_group_name_H-M_alt 'P 1'
_space_group_IT_number 1
_cell_length_a 4.787
_cell_length_b 4.787
_cell_length_c 4.787
_cell_angle_alpha 90.00
_cell_angle_beta 90.00
_cell_angle_gamma 90.00
loop_
_space_group_symop_operation_xyz
'x,y,z'
loop_
_atom_site_label
_atom_site_fract_x
_atom_site_fract_y
_atom_site_fract_z
_atom_site_occupancy
Ta1 0.000 0.000 0.500 1
Ta2 0.000 0.500 0.000 1
Ta3 0.500 0.000 0.000 1
B1 0.500 0.500 0.500 1
Mo1 0.000 0.000 0.000 1

(3)
# Ta3BMo, optimized geometry, DFT GGA-PBE
# Formation energy from the elements = 133 meV/atom
# Distance to the lowest polymorph of the same formula = 0 meV/atom
# Final energy = -10.4802 eV per atom
# SG = Pm-3m, No. 221
data_Ta3BMo
_space_group_name_H-M_alt 'P 1'
_space_group_IT_number 1
_cell_length_a 4.354
_cell_length_b 4.354
_cell_length_c 4.354
_cell_angle_alpha 90.00
_cell_angle_beta 90.00
_cell_angle_gamma 90.00
loop_
_space_group_symop_operation_xyz
'x,y,z'
loop_
_atom_site_label
_atom_site_fract_x
_atom_site_fract_y
_atom_site_fract_z
_atom_site_occupancy
Ta1 0.000 0.000 0.500 1
Ta2 0.000 0.500 0.000 1
Ta3 0.500 0.000 0.000 1
B1 0.000 0.000 0.000 1
Mo1 0.500 0.500 0.500 1